The following is a PBE with a Hubbard U calculation of crystalline PuMnAgO6 at its relaxed geometry, from Alexandria via LeMat-Bulk.

Properties
* total magnetic moment: 4.00 μB per formula unit
* energy: -7.5842 eV per atom
* calculated volume: 13.4 A^3/atom

Cell: 5.2826 5.2826 9.9897 Å, 90.00 90.00 120.00°
Last column: nearest neighbours and their distance in Å.
Space group P-31c (No. 163)
Symmetry-distinct sites (fractional):
Pu (0.3333, 0.6667, 0.2500) (multiplicity 2)  6 O 2.03
Mn (0.3333, 0.6667, 0.7500) (multiplicity 2)  6 O 1.95
Ag (0.0000, 0.0000, 0.0000) (multiplicity 2)  6 O 2.40
O (0.0114, 0.3693, 0.6444) (multiplicity 12)  1 Mn 1.95, 1 Pu 2.03